Material: Si2Ge2Pb
Method: DFT, PBE
State: relaxed

Geometry as POSCAR:
```
Si2Ge2Pb
1.0
-1.960 1.960 6.989
1.960 -1.960 6.989
1.960 1.960 -6.989
Si Ge Pb
2 2 1
direct
0.250 0.750 0.500 Si
0.750 0.250 0.500 Si
0.127 0.127 0.000 Ge
0.873 0.873 0.000 Ge
0.500 0.500 0.000 Pb
```

Values from the calculation:
- V (Å³/atom) = 21.5
- excess energy over the best structure of this formula in the dataset (eV/atom) = 0.063
- formation energy (no corrections) (eV/atom) = 0.334